[1]
Compound: LaRe3S
Source: Alexandria via LeMat-Bulk
Functional: PBE
Structure: optimized geometry

POSCAR file:
```
LaRe3S
1.0
4.5287 0.0000 0.0000
0.0000 4.5287 0.0000
0.0000 0.0000 4.5287
La Re S
1 3 1
Cartesian
2.2643 2.2643 2.2643
0.0000 2.2643 0.0000
2.2643 0.0000 0.0000
0.0000 0.0000 2.2643
0.0000 0.0000 0.0000
```

Results
As for the magnetization: 0.19 μB/atom. For the total DFT energy (no corrections), the calculation gives -43.24 eV for the cell shown. The calculation puts the volume at 93 Å³/cell. The uncorrected formation energy is 0.631 eV per atom. For the offset from the most stable computed form, the calculation gives 0.0 meV/atom.


[2]
Compound: Pm2HgAu5
Source: Alexandria via LeMat-Bulk
Functional: PBE
Structure: optimized geometry

POSCAR file:
```
Pm2HgAu5
1.0
-0.1187 -5.9432 -2.0007
3.8608 1.3569 4.7531
-5.1391 2.1721 2.8654
Hg Au Pm
1 5 2
Cartesian
-1.0806 2.9832 6.4401
-0.4552 -2.2483 1.1992
-1.0050 0.0087 4.7953
-0.3013 0.8319 1.7960
-2.6555 2.0316 3.5813
1.3140 1.6720 4.4139
1.5246 -1.3366 3.4412
-2.9754 -0.9290 2.4974
```

Results
As for the magnetization: 0.00 μB/atom. For the total DFT energy (no corrections), the calculation gives -30.13 eV for the cell shown. The calculation puts the volume at 181 Å³/cell. The formation enthalpy at 0 K is -0.49 eV per atom.


[3]
Compound: Pm6Nd4Er
Source: Alexandria via LeMat-Bulk
Functional: PBE
Structure: optimized geometry

POSCAR file:
```
Pm6Nd4Er
1.0
7.5581 -2.9094 -5.5146
-5.2117 8.0850 1.8631
-1.8754 2.9094 9.1662
Pm Er Nd
6 1 4
Cartesian
3.4818 0.3191 -1.3644
2.8413 0.0000 1.8258
-3.8346 5.9487 8.1611
-1.2573 5.0457 4.1502
1.1732 2.5878 -1.8258
-5.0060 7.7659 5.5970
0.0000 0.0000 0.0000
-3.3292 5.1647 1.2963
-1.2547 1.9465 5.8374
0.2667 2.9204 1.9478
-2.2990 9.0480 7.4625
```

Results
As for the magnetization: 0.00 μB/atom. For the total DFT energy (no corrections), the calculation gives -49.08 eV for the cell shown. The calculation puts the volume at 390 Å³/cell. The formation enthalpy at 0 K is 0.28 eV per atom. For the offset from the most stable computed form, the calculation gives 135.8 meV/atom.


[4]
Compound: TbTcI
Source: Alexandria via LeMat-Bulk
Functional: PBE
Structure: optimized geometry

POSCAR file:
```
TbTcI
1.0
4.1173 -0.0179 -0.0235
-2.0429 3.5747 0.0235
-1.9542 -1.2436 12.6643
Tc I Tb
2 2 2
Cartesian
0.0664 2.3446 6.5254
0.0537 -0.0313 6.1390
0.0792 -0.0462 10.5983
0.0409 2.3595 2.0660
-1.9869 1.1587 8.5000
2.1070 1.1545 4.1643
```

Results
As for the magnetization: 0.00 μB/atom. For the total DFT energy (no corrections), the calculation gives -37.36 eV for the cell shown. The calculation puts the volume at 186 Å³/cell. The uncorrected formation energy is -0.712 eV per atom.


[5]
Compound: Tb3NdTe3
Source: Alexandria via LeMat-Bulk
Functional: PBE
Structure: optimized geometry

POSCAR file:
```
Tb3NdTe3
1.0
9.1302 0.0000 0.0000
4.5651 7.9070 0.0000
4.5651 2.6357 5.9361
Te Nd Tb
6 2 6
Cartesian
10.7529 3.1335 1.4550
6.4675 4.9350 1.4550
11.7929 5.6077 4.4811
8.0901 2.7972 4.4811
10.1702 7.7455 1.4550
7.5075 7.4091 4.4811
4.5651 2.6357 0.3746
13.6953 7.9070 5.5615
7.9572 1.9148 1.5197
6.8099 7.9654 1.5197
10.3032 8.6278 4.4164
5.6369 4.6089 4.4164
11.4505 2.5772 4.4164
12.6235 5.9337 1.5197
```

Results
As for the magnetization: 0.00 μB/atom. For the total DFT energy (no corrections), the calculation gives -70.98 eV for the cell shown. The calculation puts the volume at 429 Å³/cell. The uncorrected formation energy is -1.058 eV per atom.


[6]
Compound: SnGe2H
Source: Alexandria via LeMat-Bulk
Functional: PBE
Structure: optimized geometry

POSCAR file:
```
SnGe2H
1.0
3.2684 2.2536 2.5384
-0.4747 0.3490 4.6752
2.8620 -2.4309 2.8468
H Ge Sn
1 2 1
Cartesian
0.0000 0.0000 0.0000
4.2418 0.1288 7.5453
1.4139 0.0429 2.5151
2.8278 0.0859 5.0302
```

Results
As for the magnetization: 0.00 μB/atom. For the total DFT energy (no corrections), the calculation gives -14.20 eV for the cell shown. The calculation puts the volume at 74 Å³/cell. For the offset from the most stable computed form, the calculation gives 198.9 meV/atom.


[7]
Compound: YSiAs2
Source: Alexandria via LeMat-Bulk
Functional: PBE
Structure: optimized geometry

POSCAR file:
```
YSiAs2
1.0
7.0303 0.0000 0.0000
0.0000 7.0303 0.0000
3.5151 3.5151 3.6143
Y Si As
2 2 4
Cartesian
7.0303 3.5151 1.8072
0.0000 0.0000 0.0000
3.5151 3.5151 0.0000
3.5151 7.0303 1.8072
2.2007 5.2727 0.9036
8.7879 8.3447 2.7107
4.8295 1.7576 0.9036
5.2727 5.7159 2.7107
```

Results
As for the magnetization: 0.00 μB/atom. For the total DFT energy (no corrections), the calculation gives -45.59 eV for the cell shown. The calculation puts the volume at 179 Å³/cell. The uncorrected formation energy is -0.402 eV per atom.


[8]
Compound: TlBSe4
Source: Alexandria via LeMat-Bulk
Functional: PBE
Structure: optimized geometry

POSCAR file:
```
TlBSe4
1.0
6.2834 0.0064 -0.0019
-0.0018 7.1530 -0.1225
-3.1438 -3.1650 9.2923
Se B Tl
8 2 2
Cartesian
4.2535 3.2670 5.8075
1.4735 5.8392 0.9827
1.6643 -1.8448 8.1852
2.0280 -0.3122 5.8687
-1.1157 0.7274 3.3604
4.8079 2.2668 1.0416
-1.6701 1.7275 8.1263
1.1099 4.3066 3.2992
-1.5728 1.9940 4.5849
1.5698 -1.5793 4.6452
4.6043 5.3709 -0.0903
-1.4665 -1.3766 9.2582
```

Results
As for the magnetization: 0.00 μB/atom. For the total DFT energy (no corrections), the calculation gives -44.86 eV for the cell shown. The calculation puts the volume at 415 Å³/cell. The uncorrected formation energy is 0.092 eV per atom. For the offset from the most stable computed form, the calculation gives 291.8 meV/atom.


[9]
Compound: Tb6Nd2Er3Zr
Source: Alexandria via LeMat-Bulk
Functional: PBE
Structure: optimized geometry

POSCAR file:
```
Tb6Nd2Er3Zr
1.0
-4.5014 -0.3118 4.1260
5.8298 -0.3115 1.8167
-0.1833 11.6711 -0.8187
Tb Nd Er Zr
6 2 3 1
Cartesian
-1.4047 2.7482 1.6364
0.1856 8.6222 0.8313
1.9676 2.7483 0.8826
-0.8226 8.2996 4.2415
2.5498 8.2996 3.4876
0.9595 2.4256 4.2927
-1.0579 -0.3117 3.3563
2.3863 -0.3116 2.5864
4.0197 5.5240 1.7915
-2.8747 5.5238 3.3326
0.5725 5.5239 2.5620
0.0000 0.0000 0.0000
```

Results
As for the magnetization: 0.00 μB/atom. For the total DFT energy (no corrections), the calculation gives -58.91 eV for the cell shown. The calculation puts the volume at 373 Å³/cell. The formation enthalpy at 0 K is 0.05 eV per atom.


[10]
Compound: LaMoAsC2
Source: Alexandria via LeMat-Bulk
Functional: PBE
Structure: optimized geometry

POSCAR file:
```
LaMoAsC2
1.0
-0.2847 -0.6167 -4.1850
4.7201 0.3144 -0.3674
0.3251 -4.1852 0.5947
As C Mo La
1 2 1 1
Cartesian
0.0000 0.0000 0.0000
-0.1423 -0.3084 -2.0925
0.1625 -2.0926 0.2973
2.3600 0.1572 -0.1837
2.3803 -2.2438 -1.9789
```

Results
As for the magnetization: 0.00 μB/atom. For the total DFT energy (no corrections), the calculation gives -30.25 eV for the cell shown. The calculation puts the volume at 85 Å³/cell. The formation enthalpy at 0 K is 1.72 eV per atom.


[11]
Compound: CaP2Os
Source: Alexandria via LeMat-Bulk
Functional: PBE
Structure: optimized geometry

POSCAR file:
```
CaP2Os
1.0
-0.6950 -3.5652 -1.7286
2.8629 -1.0772 1.0706
-2.3719 -1.7591 4.5819
P Os Ca
2 1 1
Cartesian
-0.1587 -2.5179 5.2572
0.8951 -1.7364 3.2215
0.0207 -3.9098 3.3751
-0.2248 -2.4917 0.5488
```

Results
As for the magnetization: 0.00 μB/atom. For the total DFT energy (no corrections), the calculation gives -25.41 eV for the cell shown. The calculation puts the volume at 71 Å³/cell. The formation enthalpy at 0 K is -0.34 eV per atom. For the offset from the most stable computed form, the calculation gives 261.8 meV/atom.